Entry 1:
NaCuO2 PBE relaxed; raw formation energy = -4.0 eV/f.u.; total DFT energy (no corrections) = -38.66 eV/cell
1.0
-5.6112 -1.1928 0.5217
5.1363 -2.4798 -0.8061
0.6021 -0.4922 5.3507
Na Cu O
2 2 4
direct
0.7095 0.2905 0.2500 Na
0.2905 0.7095 0.7500 Na
0.9966 0.0034 0.2500 Cu
0.0034 0.9966 0.7500 Cu
0.1146 0.8854 0.4936 O
0.8854 0.1146 0.5064 O
0.1146 0.8854 0.0064 O
0.8854 0.1146 0.9936 O

Entry 2:
SrAcZn2Si2 PBE relaxed; raw formation energy = -3.0 eV/f.u.; total DFT energy (no corrections) = -22.18 eV/cell
1.0
-2.6820 -1.0668 -3.1899
0.6630 -2.7314 3.2568
-6.9361 3.7677 4.5717
Sr Ac Zn Si
1 1 2 2
direct
0.0000 0.0000 0.5000 Sr
0.0000 0.0000 0.0000 Ac
0.6667 0.3333 0.2454 Zn
0.3333 0.6667 0.7546 Zn
0.6667 0.3333 0.7516 Si
0.3333 0.6667 0.2484 Si

Entry 3:
NpCdGa2Au4 PBE relaxed; energy of formation from the pure elements = -160 meV per atom; total DFT energy (no corrections) = -34.30 eV/cell
1.0
4.5104 0.0000 0.0000
2.2552 3.9061 0.0000
2.2552 1.3020 9.2128
Np Cd Ga Au
1 1 2 4
direct
0.0000 0.0000 0.0000 Np
0.5000 0.5000 0.5000 Cd
0.7470 0.7470 0.7590 Ga
0.2530 0.2530 0.2410 Ga
0.3907 0.3907 0.8278 Au
0.8796 0.8796 0.3611 Au
0.1204 0.1204 0.6389 Au
0.6093 0.6093 0.1722 Au

Entry 4:
PuTh2CuN5 PBE relaxed; raw formation energy = -8.7 eV/f.u.; total DFT energy (no corrections) = -167.18 eV/cell
1.0
-2.3470 1.0280 2.3389
1.4653 -6.6856 1.8360
7.6597 3.3815 6.2000
Pu Th Cu N
2 4 2 10
direct
0.8025 0.6050 0.5087 Pu
0.1975 0.3950 0.0087 Pu
0.8717 0.7433 0.8059 Th
0.1089 0.2179 0.6876 Th
0.1283 0.2567 0.3059 Th
0.8911 0.7821 0.1876 Th
0.5179 0.0358 0.9669 Cu
0.4821 0.9642 0.4669 Cu
0.3515 0.7030 0.0051 N
0.6969 0.3939 0.8690 N
0.4952 0.9904 0.7755 N
0.2861 0.5723 0.6514 N
0.9484 0.8968 0.5539 N
0.6485 0.2970 0.5051 N
0.3031 0.6061 0.3690 N
0.5048 0.0096 0.2755 N
0.7139 0.4277 0.1514 N
0.0516 0.1032 0.0539 N

Entry 5:
ErFe12 PBE relaxed; energy of formation from the pure elements = -14 meV per atom; total DFT energy (no corrections) = -106.30 eV/cell
1.0
-0.0236 -4.5562 1.0613
5.9381 -2.3322 0.4310
0.0975 -0.9288 6.3256
Er Fe
1 12
direct
0.0000 0.0000 0.0000 Er
0.5000 0.0000 0.5000 Fe
0.0000 0.0000 0.5000 Fe
0.5000 0.5000 0.0000 Fe
0.0000 0.5000 0.0000 Fe
0.0000 0.6420 0.3580 Fe
0.0000 0.3580 0.6420 Fe
0.6420 0.3580 0.3580 Fe
0.3580 0.6420 0.6420 Fe
0.5000 0.2254 0.7746 Fe
0.5000 0.7746 0.2254 Fe
0.7254 0.7746 0.7746 Fe
0.2746 0.2254 0.2254 Fe

Entry 6:
Sm7Ag2Rh2 PBE relaxed; energy of formation from the pure elements = -281 meV per atom; total DFT energy (no corrections) = -56.53 eV/cell
1.0
6.7872 -0.0031 -0.9060
0.0035 7.2089 0.0029
-1.3271 -0.0019 6.7176
Sm Ag Rh
7 2 2
direct
0.0000 0.2570 0.5000 Sm
0.5000 0.7430 0.0000 Sm
0.0000 0.7430 0.5000 Sm
0.5000 0.2570 0.0000 Sm
0.0000 0.0000 0.0000 Sm
0.5000 0.7505 0.5000 Sm
0.5000 0.2495 0.5000 Sm
0.8238 0.5000 0.8238 Ag
0.1762 0.5000 0.1762 Ag
0.7089 0.0000 0.2911 Rh
0.2911 0.0000 0.7089 Rh

Entry 7:
KMgIn PBE relaxed; energy of formation from the pure elements = -46 meV per atom; total DFT energy (no corrections) = -11.14 eV/cell; offset from the most stable computed form = 16 meV/atom
1.0
4.9632 0.0000 0.0000
0.0000 4.9632 0.0000
0.0000 0.0000 8.5342
K Mg In
2 2 2
direct
0.0000 0.5000 0.8497 K
0.5000 0.0000 0.1503 K
0.0000 0.0000 0.5000 Mg
0.5000 0.5000 0.5000 Mg
0.0000 0.5000 0.3037 In
0.5000 0.0000 0.6963 In

Entry 8:
Ti4Co2H PBE relaxed; total DFT energy (no corrections) = -50.42 eV/cell
1.0
3.9295 0.0000 0.0000
0.0000 3.9295 0.0000
1.9647 1.9647 6.0304
H Co Ti
1 2 4
direct
0.0000 0.0000 0.0000 H
0.3677 0.3677 0.2647 Co
0.6323 0.6323 0.7353 Co
0.1885 0.1885 0.6230 Ti
0.8115 0.8115 0.3770 Ti
0.0000 0.5000 0.0000 Ti
0.5000 0.0000 0.0000 Ti

Entry 9:
TbErZn10 PBE relaxed; energy of formation from the pure elements = -273 meV per atom; total DFT energy (no corrections) = -25.21 eV/cell
1.0
-1.8139 1.6014 -3.4469
1.4033 -4.3217 -2.7462
-7.8981 -4.0191 2.2891
Tb Er Zn
1 1 10
direct
0.0000 0.0000 0.0000 Tb
0.0000 0.5000 0.5000 Er
0.0000 0.0000 0.3358 Zn
0.0000 0.5000 0.8321 Zn
0.0000 0.5000 0.1679 Zn
0.0000 0.0000 0.6642 Zn
0.5000 0.0000 0.5000 Zn
0.5000 0.5000 0.0000 Zn
0.5000 0.2503 0.2508 Zn
0.5000 0.7497 0.7492 Zn
0.5000 0.7497 0.2508 Zn
0.5000 0.2503 0.7492 Zn

Entry 10:
GaTcHg PBE relaxed; energy of formation from the pure elements = 116 meV per atom; total DFT energy (no corrections) = -26.70 eV/cell
1.0
-2.1080 1.2464 -1.7706
0.7726 -2.9216 -2.9762
-4.9170 -7.5852 3.1088
Tc Ga Hg
2 2 2
direct
0.0437 0.7074 0.5863 Tc
0.9563 0.2926 0.4137 Tc
0.4242 0.8252 0.3492 Ga
0.5758 0.1748 0.6508 Ga
0.6818 0.5672 0.8644 Hg
0.3182 0.4328 0.1356 Hg

Entry 11:
LiNbCl6 PBE relaxed; raw formation energy = -10.7 eV/f.u.; total DFT energy (no corrections) = -33.77 eV/cell; offset from the most stable computed form = 14 meV/atom
1.0
-1.7613 3.0431 5.4084
-5.7324 2.9411 0.3249
-4.8684 -2.8431 3.8616
Li Nb Cl
1 1 6
direct
0.5000 0.5000 0.5000 Li
0.0000 0.0000 0.0000 Nb
0.0991 0.3720 0.7606 Cl
0.7681 0.0991 0.7607 Cl
0.6280 0.2320 0.2393 Cl
0.2319 0.9009 0.2393 Cl
0.9009 0.6280 0.2394 Cl
0.3720 0.7680 0.7607 Cl

Entry 12:
MgB4Pt12 PBE relaxed; energy of formation from the pure elements = -278 meV per atom; total DFT energy (no corrections) = -105.52 eV/cell
1.0
6.8347 0.0000 0.0000
-2.2782 6.4438 0.0000
-2.2782 -3.2219 5.5805
Mg B Pt
1 4 12
direct
0.0000 0.0000 0.0000 Mg
0.0000 0.5000 0.0000 B
0.5000 0.0000 0.0000 B
0.5000 0.5000 0.5000 B
0.0000 0.0000 0.5000 B
0.8250 0.3186 0.1436 Pt
0.3186 0.4936 0.1750 Pt
0.8564 0.1750 0.6814 Pt
0.3186 0.1436 0.8250 Pt
0.1436 0.8250 0.3186 Pt
0.6814 0.5064 0.8250 Pt
0.4936 0.1750 0.3186 Pt
0.5064 0.8250 0.6814 Pt
0.6814 0.8564 0.1750 Pt
0.8250 0.6814 0.5064 Pt
0.1750 0.3186 0.4936 Pt
0.1750 0.6814 0.8564 Pt

Entry 13:
Rb2ZrGeF6 PBE relaxed; raw formation energy = -26.4 eV/f.u.; total DFT energy (no corrections) = -52.76 eV/cell
1.0
-2.7303 -3.1344 4.6382
-3.3362 -3.2328 -4.1486
1.2898 -7.3218 -0.0069
Ge Rb Zr F
1 2 1 6
direct
0.5000 0.5000 0.0000 Ge
0.7500 0.2500 0.5000 Rb
0.2500 0.7500 0.5000 Rb
0.0000 0.0000 0.0000 Zr
0.1713 0.1713 0.6574 F
0.8287 0.8287 0.3426 F
0.2315 0.2315 0.0000 F
0.7685 0.7685 0.0000 F
0.7685 0.2315 0.0000 F
0.2315 0.7685 0.0000 F

Entry 14:
CdAsRh3 PBE relaxed; energy of formation from the pure elements = 172 meV per atom; total DFT energy (no corrections) = -26.76 eV/cell; offset from the most stable computed form = 0 meV/atom
1.0
-1.2206 -1.8847 3.9547
0.1874 -4.1240 -1.9075
4.3768 -0.3490 1.1845
As Rh Cd
1 3 1
direct
0.0000 0.0000 0.0000 As
0.0000 0.5000 0.0000 Rh
0.0000 0.0000 0.5000 Rh
0.5000 0.0000 0.0000 Rh
0.5000 0.5000 0.5000 Cd

Entry 15:
K2BeOs PBE relaxed; energy of formation from the pure elements = 1414 meV per atom; total DFT energy (no corrections) = -11.50 eV/cell
1.0
-2.1046 -0.4719 3.1316
-1.0166 -3.4647 -1.2053
4.2942 -2.1512 2.5617
Be K Os
1 2 1
direct
0.0000 0.5000 0.5000 Be
0.0000 0.0000 0.0000 K
0.5000 0.5000 0.0000 K
0.5000 0.0000 0.5000 Os

Entry 16:
PrNd5Hg3 PBE relaxed; energy of formation from the pure elements = -274 meV per atom; total DFT energy (no corrections) = -63.99 eV/cell
1.0
7.1247 0.0000 0.0000
0.0000 9.4032 0.0000
0.0000 -4.7016 8.1427
Pr Nd Hg
2 10 6
direct
0.0000 0.0000 0.0000 Pr
0.5000 0.0000 0.0000 Pr
0.0000 0.6667 0.3334 Nd
0.5000 0.3333 0.6666 Nd
0.0000 0.3333 0.6666 Nd
0.5000 0.6667 0.3334 Nd
0.7500 0.6675 0.6676 Nd
0.7500 0.0000 0.3324 Nd
0.7500 0.3324 0.0000 Nd
0.2500 0.3325 0.3324 Nd
0.2500 0.0000 0.6676 Nd
0.2500 0.6676 0.0000 Nd
0.7500 0.3352 0.3352 Hg
0.7500 0.0000 0.6647 Hg
0.7500 0.6647 0.0000 Hg
0.2500 0.6648 0.6647 Hg
0.2500 0.0000 0.3352 Hg
0.2500 0.3353 0.0000 Hg

Entry 17:
PrSc2Cu PBE relaxed; energy of formation from the pure elements = 64 meV per atom; total DFT energy (no corrections) = -21.28 eV/cell; offset from the most stable computed form = 145 meV/atom
1.0
-1.8962 2.9266 -0.3249
-2.5877 0.6702 2.2629
4.5438 5.7289 6.2098
Pr Sc Cu
1 2 1
direct
0.5019 0.5019 0.4944 Pr
0.0632 0.0632 0.8104 Sc
0.2694 0.2694 0.1919 Sc
0.6655 0.6655 0.0034 Cu

Entry 18:
BaCaO2F PBE relaxed; raw formation energy = -13.0 eV/f.u.; total DFT energy (no corrections) = -28.74 eV/cell
1.0
4.4578 0.0000 0.0000
0.0000 4.4578 0.0000
0.0000 0.0000 4.4266
Ca Ba O F
1 1 2 1
direct
0.0000 0.0000 0.0000 Ca
0.5000 0.5000 0.5000 Ba
0.0000 0.5000 0.0000 O
0.5000 0.0000 0.0000 O
0.0000 0.0000 0.5000 F

Entry 19:
ZrSc2Be PBE relaxed; energy of formation from the pure elements = 164 meV per atom; total DFT energy (no corrections) = -24.28 eV/cell
1.0
9.4527 0.0262 0.0154
8.9019 3.1797 0.0154
8.9019 1.5549 2.7737
Sc Be Zr
2 1 1
direct
0.0124 0.0124 0.0124 Sc
0.4876 0.4876 0.4876 Sc
0.7500 0.7500 0.7500 Be
0.2500 0.2500 0.2500 Zr

Entry 20:
SmTm2CdC PBE relaxed; energy of formation from the pure elements = -301 meV per atom; total DFT energy (no corrections) = -25.30 eV/cell
1.0
-0.4729 3.5237 -3.6896
-4.7002 0.4282 1.0113
1.0038 3.4779 3.1929
Sm Tm Cd C
1 2 1 1
direct
0.5000 0.0000 0.0000 Sm
0.0000 0.0000 0.5000 Tm
0.0000 0.5000 0.0000 Tm
0.5000 0.5000 0.5000 Cd
0.0000 0.0000 0.0000 C